DFT (GGA-PBE) results for a relaxed Ba8Au2I crystal.

Lattice parameters (Å, degrees): 6.962 8.744 9.955 106.28 90.66 98.90
Fractional positions:
1 Ba 0.183 0.155 0.406
2 Ba 0.246 0.162 0.944
3 Ba 0.265 0.635 0.739
4 Ba 0.314 0.696 0.306
5 Ba 0.686 0.304 0.694
6 Ba 0.735 0.365 0.261
7 Ba 0.754 0.838 0.056
8 Ba 0.817 0.845 0.594
9 Au 0.331 0.959 0.624
10 Au 0.669 0.041 0.376
11 I 0.000 0.500 0.000

Results
Space group: P-1
Total DFT energy (no corrections): -28.536 eV for the cell shown
Formation energy without anion corrections: -0.459 eV/atom



DFT (GGA-PBE) results for a relaxed Ba5Au4I crystal.

Lattice parameters (Å, degrees): 8.505 8.505 11.882 118.81 118.81 32.69
Fractional positions:
1 Ba 0.000 0.000 0.000
2 Ba 0.208 0.208 0.819
3 Ba 0.386 0.386 0.611
4 Ba 0.614 0.614 0.389
5 Ba 0.792 0.792 0.181
6 Au 0.206 0.206 0.296
7 Au 0.406 0.406 0.108
8 Au 0.594 0.594 0.892
9 Au 0.794 0.794 0.704
10 I 0.000 0.000 0.500

Results
Space group: C2/m
Total DFT energy (no corrections): -32.574 eV for the cell shown
Formation energy without anion corrections: -0.830 eV/atom